1.
Compound: Y4Tl3Ru
Source: the Alexandria database
Functional: PBE
Structure: optimized geometry

Values from the calculation:
DFT total energy   -5.66 eV/atom
Symmetry   P4/mmm
Formation energy   -0.38 eV per atom
DOS(E_F)   0.559 states/eV/atom
Total moment   0.27 μB/cell

abc: 3.577 3.577 15.930
angles: 90.00 90.00 90.00
Atoms (fractional coordinates):
1 Y 0.000 0.000 0.102
2 Y 0.000 0.000 0.368
3 Y 0.000 0.000 0.632
4 Y 0.000 0.000 0.898
5 Tl 0.500 0.500 0.238
6 Tl 0.500 0.500 0.500
7 Tl 0.500 0.500 0.762
8 Ru 0.500 0.500 0.000

***

2.
Compound: Tl2ZnRu
Source: the Alexandria database
Functional: PBE
Structure: optimized geometry

Values from the calculation:
Relative energy among the computed polymorphs   0.00 eV per formula unit
DFT total energy   -3.55 eV/atom
Symmetry   P4mm
Formation energy   0.27 eV per atom
DOS(E_F)   0.578 states/eV/atom
Total moment   0.00 μB/cell

abc: 3.324 3.324 7.646
angles: 90.00 90.00 90.00
Atoms (fractional coordinates):
1 Tl 0.000 0.000 0.000
2 Tl 0.500 0.500 0.350
3 Zn 0.000 0.000 0.623
4 Ru 0.500 0.500 0.764

***

3.
Compound: Tl2ZnRu
Source: the Alexandria database
Functional: PBE
Structure: optimized geometry

Values from the calculation:
Relative energy among the computed polymorphs   0.99 eV per formula unit
DFT total energy   -3.30 eV/atom
Symmetry   C2/m
Formation energy   0.52 eV per atom
DOS(E_F)   0.567 states/eV/atom
Total moment   0.00 μB/cell

abc: 5.063 5.063 4.961
angles: 104.98 104.98 40.49
Atoms (fractional coordinates):
1 Tl 0.245 0.245 0.241
2 Tl 0.755 0.755 0.759
3 Zn 0.000 0.000 0.500
4 Ru 0.500 0.500 0.000

***

> Which value of DFT total energy does entry 1 give?

-5.66 eV/atom

***

> What is the formula in the second record?

Tl2ZnRu